Entry 1:
This record from the Alexandria database describes a geometry-optimized Sm4Y2Pb3O2 structure. The functional is PBE-GGA.

Cell lengths 4.772, 4.772, 13.237 Å; angles 100.38, 100.38, 90.00 degrees
Atoms (fractional coordinates):
Pb1 0.181 0.181 0.363
Y1 0.307 0.307 0.613
O1 0.397 0.397 0.793
Pb2 0.000 0.000 0.000
Sm1 0.916 0.416 0.831
Pb3 0.819 0.819 0.637
Y2 0.693 0.693 0.387
Sm2 0.584 0.084 0.169
O2 0.603 0.603 0.207
Sm3 0.084 0.584 0.169
Sm4 0.416 0.916 0.831

Results
ΔE_f (raw)	-1.38	eV per atom



Entry 2:
This record from the Alexandria database describes a geometry-optimized SmYPbO2 structure. The functional is PBE-GGA.

Cell lengths 3.900, 3.900, 7.679 Å; angles 104.71, 104.71, 90.00 degrees
Atoms (fractional coordinates):
Y1 0.171 0.171 0.342
O1 0.248 0.748 0.496
Sm1 0.831 0.831 0.662
Pb1 0.502 0.502 0.004
O2 0.748 0.248 0.496

Results
ΔE_f (raw)	-2.50	eV per atom



Entry 3:
This record from the Alexandria database describes a geometry-optimized Sn5Pb3O12 structure. The functional is PBE-GGA.

Cell lengths 11.850, 11.850, 11.850 Å; angles 109.47, 109.47, 109.47 degrees
Atoms (fractional coordinates):
O1 0.114 0.694 0.518
O2 0.904 0.079 0.886
O3 0.921 0.096 0.614
Sn1 0.500 0.000 0.500
O4 0.596 0.982 0.676
O5 0.824 0.904 0.018
Sn2 0.500 0.000 0.000
O6 0.614 0.018 0.194
O7 0.579 0.694 0.676
Pb1 0.625 0.250 0.375
O8 0.404 0.018 0.324
O9 0.596 0.614 0.421
O10 0.904 0.824 0.518
O11 0.518 0.194 0.114
Sn3 0.250 0.375 0.625
Sn4 0.375 0.250 0.125
Sn5 0.375 0.125 0.750
O12 0.694 0.579 0.176
Sn6 0.750 0.625 0.375
Sn7 0.125 0.750 0.375
Pb2 0.375 0.750 0.625
O13 0.676 0.482 0.596
O14 0.982 0.386 0.306
O15 0.176 0.096 0.982
Sn8 0.000 0.000 0.500
Sn9 0.500 0.500 0.000
Sn10 0.500 0.500 0.500
Pb3 0.375 0.625 0.250
Sn11 0.125 0.375 0.250
O16 0.421 0.114 0.596
O17 0.306 0.421 0.824
Pb4 0.625 0.375 0.750
O18 0.806 0.482 0.386
O19 0.518 0.324 0.904
O20 0.676 0.194 0.579
O21 0.096 0.921 0.114
Sn12 0.625 0.750 0.875
O22 0.096 0.176 0.482
Sn13 0.750 0.125 0.875
O23 0.194 0.676 0.079
O24 0.482 0.676 0.096
O25 0.482 0.806 0.886
O26 0.824 0.921 0.306
Sn14 0.000 0.500 0.000
O27 0.386 0.404 0.079
Pb5 0.750 0.375 0.125
Pb6 0.250 0.125 0.375
O28 0.982 0.596 0.176
O29 0.886 0.306 0.482
O30 0.886 0.579 0.904
Sn15 0.625 0.875 0.250
O31 0.579 0.886 0.404
O32 0.079 0.904 0.386
O33 0.306 0.886 0.982
O34 0.176 0.079 0.694
Pb7 0.250 0.625 0.875
O35 0.614 0.596 0.921
O36 0.194 0.518 0.614
Pb8 0.875 0.750 0.125
O37 0.324 0.806 0.421
O38 0.018 0.404 0.824
Pb9 0.750 0.875 0.625
Sn16 0.000 0.500 0.500
O39 0.404 0.386 0.579
O40 0.324 0.518 0.404
Sn17 0.875 0.625 0.750
O41 0.806 0.324 0.921
O42 0.079 0.176 0.194
Sn18 0.000 0.000 0.000
O43 0.386 0.982 0.806
O44 0.921 0.824 0.806
O45 0.421 0.306 0.324
O46 0.114 0.421 0.096
Sn19 0.875 0.250 0.625
Pb10 0.125 0.875 0.750
O47 0.018 0.614 0.694
Sn20 0.250 0.875 0.125
Pb11 0.125 0.250 0.875
Pb12 0.875 0.125 0.250
O48 0.694 0.114 0.018

Results
ΔE_f (raw)	-1.32	eV per atom



Entry 4:
This record from the Alexandria database describes a geometry-optimized Sn3PbO structure. The functional is PBE-GGA.

Cell lengths 5.854, 5.854, 5.854 Å; angles 90.00, 90.00, 90.00 degrees
Last column: magnetic moment on the atom in μB.
Atoms (fractional coordinates):
O1 0.500 0.500 0.500  1.03
Sn1 0.500 0.000 0.000  -0.01
Sn2 0.000 0.000 0.500  -0.01
Sn3 0.000 0.500 0.000  0.01
Pb1 0.000 0.000 0.000  0.01

Results
ΔE_f (raw)	1.12	eV per atom
ΔE to the lowest computed polymorph	134.4	kJ/mol of atoms



Entry 5:
This record from the Alexandria database describes a geometry-optimized SnPbO2 structure. The functional is PBE-GGA.

Cell lengths 7.550, 7.550, 7.550 Å; angles 25.77, 25.77, 25.77 degrees
Atoms (fractional coordinates):
Pb1 0.000 0.000 0.000
O1 0.119 0.119 0.119
Sn1 0.500 0.500 0.500
O2 0.881 0.881 0.881

Results
ΔE_f (raw)	-1.08	eV per atom
ΔE to the lowest computed polymorph	13.3	kJ/mol of atoms



Entry 6:
This record from the Alexandria database describes a geometry-optimized Sn3PbO structure. The functional is PBE-GGA.

Cell lengths 4.974, 4.974, 4.974 Å; angles 90.00, 90.00, 90.00 degrees
Atoms (fractional coordinates):
O1 0.000 0.000 0.000
Pb1 0.500 0.500 0.500
Sn1 0.000 0.000 0.500
Sn2 0.500 0.000 0.000
Sn3 0.000 0.500 0.000

Results
ΔE_f (raw)	-0.27	eV per atom
ΔE to the lowest computed polymorph	0.0	kJ/mol of atoms



Entry 7:
This record from the Alexandria database describes a geometry-optimized SnPbO2 structure. The functional is PBE-GGA.

Cell lengths 3.945, 3.945, 5.200 Å; angles 89.98, 90.01, 90.00 degrees
Atoms (fractional coordinates):
Pb1 0.189 0.935 0.745
Sn1 0.689 0.435 0.289
O1 0.689 0.935 0.493
O2 0.189 0.435 0.493

Results
ΔE_f (raw)	-1.21	eV per atom
ΔE to the lowest computed polymorph	0.0	kJ/mol of atoms



Entry 8:
This record from the Alexandria database describes a geometry-optimized SnPbO2 structure. The functional is PBE-GGA.

Cell lengths 4.493, 4.493, 4.493 Å; angles 60.00, 60.00, 60.00 degrees
Atoms (fractional coordinates):
Pb1 0.500 0.500 0.500
O1 0.250 0.250 0.250
Sn1 0.000 0.000 0.000
O2 0.750 0.750 0.750

Results
ΔE_f (raw)	-0.56	eV per atom
ΔE to the lowest computed polymorph	63.3	kJ/mol of atoms